No. 1
Density functional theory data (PBE-GGA) for a relaxed structure of Tl3CrBr6.

It has space group P2_1/c (No. 14), with a = 7.4771 Å, b = 8.2833 Å, c = 13.0591 Å, α = 90.00°, β = 122.73° and γ = 90.00°. The distinct sites, in fractional coordinates, are Tl at (0.0000, 0.0000, 0.0000), Tl at (0.2110, 0.0771, 0.7434), Cr at (0.5000, 0.0000, 0.5000), Br at (0.1798, 0.1603, 0.4609), Br at (0.2812, 0.7408, 0.4354) and Br at (0.3947, 0.0470, 0.2826).

For the energy relative to the lowest polymorph listed for this composition, the calculation gives 0.00 eV per formula unit. The density is 5.587 g cm⁻³. For the raw formation energy, the calculation gives -8.1 eV per formula unit. The calculation puts the total energy at -34.89 eV per formula unit.

***

No. 2
Density functional theory data (PBE-GGA) for a relaxed structure of Tl2CrBr.

It has space group R-3m (No. 166, hexagonal axes), with a = 3.8653 Å, b = 3.8653 Å, c = 25.6567 Å, α = 90.00°, β = 90.00° and γ = 120.00°. The distinct sites, in fractional coordinates, are Tl at (0.0000, 0.0000, 0.2430), Cr at (0.0000, 0.0000, 0.5000) and Br at (0.0000, 0.0000, 0.0000).

The density of states at the Fermi level comes out at 0.55 states/eV/atom. For the energy relative to the lowest polymorph listed for this composition, the calculation gives 0.82 eV per formula unit. The density is 8.113 g cm⁻³. For the raw formation energy, the calculation gives 1.1 eV per formula unit. The calculation puts the total energy at -14.93 eV per formula unit.

***

No. 3
Density functional theory data (PBE-GGA) for a relaxed structure of Tl2CrBr.

It has space group C2/m (No. 12), with a = 7.3408 Å, b = 8.3280 Å, c = 3.5208 Å, α = 90.00°, β = 90.17° and γ = 90.00°. The distinct sites, in fractional coordinates, are Tl at (0.2500, 0.2500, 0.0000), Cr at (0.0000, 0.0000, 0.5000) and Br at (0.0000, 0.5000, 0.5000).

The density of states at the Fermi level comes out at 0.47 states/eV/atom. For the energy relative to the lowest polymorph listed for this composition, the calculation gives 0.50 eV per formula unit. The density is 8.342 g cm⁻³. For the raw formation energy, the calculation gives 0.8 eV per formula unit. The calculation puts the total energy at -15.25 eV per formula unit.

***

No. 4
Density functional theory data (PBE-GGA) for a relaxed structure of TlCrBr4.

It has space group F-43m (No. 216), with a = 9.1598 Å, b = 9.1598 Å, c = 9.1598 Å, α = 90.00°, β = 90.00° and γ = 90.00°. The distinct sites, in fractional coordinates, are Tl at (0.0000, 0.0000, 0.0000), Cr at (0.2500, 0.2500, 0.2500) and Br at (0.1249, 0.1249, 0.6249).

The density of states at the Fermi level comes out at 1.54 states/eV/atom. For the energy relative to the lowest polymorph listed for this composition, the calculation gives 7.21 eV per formula unit. The density is 4.978 g cm⁻³. For the raw formation energy, the calculation gives 2.5 eV per formula unit. The calculation puts the total energy at -16.16 eV per formula unit.

***

No. 5
Density functional theory data (PBE-GGA) for a relaxed structure of Tl3Cr2Br7.

It has space group I4/mmm (No. 139), with a = 5.2841 Å, b = 5.2841 Å, c = 26.8361 Å, α = 90.00°, β = 90.00° and γ = 90.00°. The distinct sites, in fractional coordinates, are Tl at (0.0000, 0.0000, 0.0000), Tl at (0.0000, 0.0000, 0.1803), Cr at (0.0000, 0.0000, 0.4013), Br at (0.0000, 0.0000, 0.3052), Br at (0.0000, 0.0000, 0.5000) and Br at (0.0000, 0.5000, 0.0958).

The density of states at the Fermi level comes out at 0.16 states/eV/atom. The density is 5.658 g cm⁻³. For the raw formation energy, the calculation gives -8.8 eV per formula unit. The calculation puts the total energy at -46.85 eV per formula unit.

***

No. 6
Density functional theory data (PBE-GGA) for a relaxed structure of TlCr2Br.

It has space group F-43m (No. 216), with a = 7.4377 Å, b = 7.4377 Å, c = 7.4377 Å, α = 90.00°, β = 90.00° and γ = 90.00°. The distinct sites, in fractional coordinates, are Tl at (0.0000, 0.0000, 0.0000), Cr at (0.0000, 0.0000, 0.5000), Cr at (0.2500, 0.2500, 0.2500) and Br at (0.2500, 0.2500, 0.7500).

The density of states at the Fermi level comes out at 0.75 states/eV/atom. For the energy relative to the lowest polymorph listed for this composition, the calculation gives 2.56 eV per formula unit. The density is 6.268 g cm⁻³. For the raw formation energy, the calculation gives 3.7 eV per formula unit. The calculation puts the total energy at -19.61 eV per formula unit.

***

No. 7
Density functional theory data (PBE-GGA) for a relaxed structure of TlCr2Br.

It has space group P2/m (No. 10), with a = 3.6336 Å, b = 3.3860 Å, c = 7.3991 Å, α = 90.00°, β = 90.09° and γ = 90.00°. The distinct sites, in fractional coordinates, are Tl at (0.0000, 0.0000, 0.0000), Cr at (0.4988, 0.5000, 0.7862) and Br at (0.5000, 0.0000, 0.5000).

The density of states at the Fermi level comes out at 0.62 states/eV/atom. For the energy relative to the lowest polymorph listed for this composition, the calculation gives 0.70 eV per formula unit. The density is 7.082 g cm⁻³. For the raw formation energy, the calculation gives 1.8 eV per formula unit. The calculation puts the total energy at -21.48 eV per formula unit.

***

No. 8
Density functional theory data (PBE-GGA) for a relaxed structure of TlCr2Br.

It has space group C2/m (No. 12), with a = 9.3535 Å, b = 3.3284 Å, c = 8.0115 Å, α = 90.00°, β = 123.38° and γ = 90.00°. The distinct sites, in fractional coordinates, are Tl at (0.0000, 0.0000, 0.0000), Cr at (0.1357, 0.5000, 0.8179) and Br at (0.0000, 0.0000, 0.5000).

The density of states at the Fermi level comes out at 0.48 states/eV/atom. For the energy relative to the lowest polymorph listed for this composition, the calculation gives 0.77 eV per formula unit. The density is 6.192 g cm⁻³. For the raw formation energy, the calculation gives 1.9 eV per formula unit. The calculation puts the total energy at -21.40 eV per formula unit.

***

No. 9
Density functional theory data (PBE-GGA) for a relaxed structure of TlCr2Br.

It has space group P4/mmm (No. 123), with a = 5.1181 Å, b = 5.1181 Å, c = 3.2903 Å, α = 90.00°, β = 90.00° and γ = 90.00°. The distinct sites, in fractional coordinates, are Tl at (0.0000, 0.0000, 0.0000), Cr at (0.0000, 0.5000, 0.5000) and Br at (0.5000, 0.5000, 0.0000).

The density of states at the Fermi level comes out at 0.66 states/eV/atom. For the energy relative to the lowest polymorph listed for this composition, the calculation gives 1.49 eV per formula unit. The density is 7.481 g cm⁻³. For the raw formation energy, the calculation gives 2.6 eV per formula unit. The calculation puts the total energy at -20.68 eV per formula unit.

***

No. 10
Density functional theory data (PBE-GGA) for a relaxed structure of TlCr2Br.

It has space group Cmmm (No. 65), with a = 3.5481 Å, b = 5.9929 Å, c = 8.6281 Å, α = 90.00°, β = 90.00° and γ = 90.00°. The distinct sites, in fractional coordinates, are Tl at (0.0000, 0.0000, 0.0000), Cr at (0.0000, 0.5000, 0.2578) and Br at (0.0000, 0.0000, 0.5000).

The density of states at the Fermi level comes out at 0.35 states/eV/atom. For the energy relative to the lowest polymorph listed for this composition, the calculation gives 1.04 eV per formula unit. The density is 7.029 g cm⁻³. For the raw formation energy, the calculation gives 2.2 eV per formula unit. The calculation puts the total energy at -21.13 eV per formula unit.

***

No. 11
Density functional theory data (PBE-GGA) for a relaxed structure of TlCr2Br.

It has space group I4/mmm (No. 139), with a = 4.6540 Å, b = 4.6540 Å, c = 8.2350 Å, α = 90.00°, β = 90.00° and γ = 90.00°. The distinct sites, in fractional coordinates, are Tl at (0.0000, 0.0000, 0.0000), Cr at (0.0000, 0.5000, 0.2500) and Br at (0.0000, 0.0000, 0.5000).

The density of states at the Fermi level comes out at 0.45 states/eV/atom. For the energy relative to the lowest polymorph listed for this composition, the calculation gives 1.76 eV per formula unit. The density is 7.230 g cm⁻³. For the raw formation energy, the calculation gives 2.9 eV per formula unit. The calculation puts the total energy at -20.41 eV per formula unit.